{
  "formula": "Zr7ScTl4",
  "functional": "PBE",
  "state": "optimized geometry",
  "cell": [[5.410, 0.000, 0.000], [2.705, 9.609, -0.229], [2.705, 0.188, 5.690]],
  "species": ["Zr", "Zr", "Zr", "Zr", "Zr", "Zr", "Zr", "Tl", "Tl", "Tl", "Tl", "Sc"],
  "frac_coords": [[0.500, 0.000, 0.000], [0.036, 0.625, 0.304], [0.784, 0.907, 0.524], [0.964, 0.375, 0.696], [0.647, 0.447, 0.258], [0.353, 0.553, 0.742], [0.216, 0.093, 0.476], [0.717, 0.679, 0.887], [0.592, 0.219, 0.597], [0.408, 0.781, 0.403], [0.283, 0.321, 0.113], [0.000, 0.000, 0.000]],
  "energy_ry_per_atom": -0.44569
}

{
  "formula": "Na2NpSO8",
  "functional": "PBE",
  "state": "optimized geometry",
  "cell": [[-3.067, -2.787, 3.192], [5.082, -1.165, -0.419], [1.180, 3.606, 4.282]],
  "species": ["O", "O", "O", "O", "O", "O", "O", "O", "Na", "Na", "S", "Np"],
  "frac_coords": [[0.667, 0.333, 0.478], [0.854, 0.707, 0.822], [0.707, 0.854, 0.178], [0.146, 0.293, 0.178], [0.146, 0.854, 0.178], [0.293, 0.146, 0.822], [0.854, 0.146, 0.822], [0.333, 0.667, 0.522], [0.667, 0.333, 0.095], [0.333, 0.667, 0.905], [0.000, 0.000, 0.000], [0.000, 0.000, 0.500]],
  "formation_energy_uncorrected_mev_per_atom": -1050.9
}

{
  "formula": "Tc2Rh",
  "functional": "PBE",
  "state": "optimized geometry",
  "cell": [[4.787, 0.009, 0.000], [2.576, 4.035, 0.000], [-3.682, -2.022, 2.296]],
  "species": ["Tc", "Tc", "Rh"],
  "frac_coords": [[0.674, 0.674, 0.000], [0.326, 0.326, 0.000], [0.000, 0.000, 0.000]],
  "relative_energy_ev_per_atom": 0.378
}

{
  "formula": "Zr2SNO",
  "functional": "PBE",
  "state": "optimized geometry",
  "cell": [[3.711, 0.000, 0.000], [1.856, 6.018, 0.070], [1.856, 1.070, 6.825]],
  "species": ["S", "S", "Zr", "Zr", "Zr", "Zr", "O", "O", "N", "N"],
  "frac_coords": [[0.196, 0.237, 0.372], [0.804, 0.763, 0.628], [0.834, 0.273, 0.060], [0.568, 0.206, 0.659], [0.166, 0.727, 0.940], [0.432, 0.794, 0.341], [0.053, 0.088, 0.806], [0.947, 0.912, 0.194], [0.640, 0.625, 0.094], [0.360, 0.375, 0.906]],
  "formation_energy_uncorrected_mev_per_atom": -1998.8
}

{
  "formula": "TbNdIrPt",
  "functional": "PBE",
  "state": "optimized geometry",
  "cell": [[3.923, 0.000, 0.000], [0.000, 4.331, 0.000], [-1.961, 0.000, 5.429]],
  "species": ["Ir", "Nd", "Pt", "Tb"],
  "frac_coords": [[0.412, 0.000, 0.824], [0.145, 0.000, 0.289], [0.583, 0.500, 0.166], [0.861, 0.500, 0.721]],
  "relative_energy_ev_per_atom": 0.000
}

{
  "formula": "CeY7Er12",
  "functional": "PBE",
  "state": "optimized geometry",
  "cell": [[8.433, 1.019, 1.529], [-1.366, 8.384, 1.529], [-1.366, -1.818, 8.326]],
  "species": ["Y", "Y", "Y", "Y", "Y", "Y", "Y", "Er", "Er", "Er", "Er", "Er", "Er", "Er", "Er", "Er", "Er", "Er", "Er", "Ce"],
  "frac_coords": [[0.061, 0.968, 0.674], [0.500, 0.500, 0.500], [0.968, 0.674, 0.061], [0.939, 0.032, 0.326], [0.674, 0.061, 0.968], [0.032, 0.326, 0.939], [0.326, 0.939, 0.032], [0.542, 0.874, 0.648], [0.626, 0.774, 0.234], [0.352, 0.458, 0.126], [0.874, 0.648, 0.542], [0.374, 0.226, 0.766], [0.234, 0.626, 0.774], [0.648, 0.542, 0.874], [0.458, 0.126, 0.352], [0.774, 0.234, 0.626], [0.766, 0.374, 0.226], [0.126, 0.352, 0.458], [0.226, 0.766, 0.374], [0.000, 0.000, 0.000]],
  "energy_ry_per_atom": -0.37007
}